#one
# TiMo4W5

A relaxed TiMo4W5 crystal (GGA-PBE, Alexandria via LeMat-Bulk).

## Properties
As for the space group: P4/mmm. The total magnetization comes out at 0.0 μB per formula unit.

a b c (Å): 3.1692 3.1692 15.9265
angles (deg): 90.00 90.00 90.00
With the nearest neighbours (Å) after each atom.
Positions (direct):
1 W 0.5000 0.5000 0.5000  8 Mo 2.75
2 W 0.5000 0.5000 0.3007  8 Mo 2.74-2.76
3 W 0.5000 0.5000 0.6993  8 Mo 2.74-2.76
4 W 0.5000 0.5000 0.1027  4 Mo 2.72, 4 Ti 2.77
5 W 0.5000 0.5000 0.8973  4 Mo 2.72, 4 Ti 2.77
6 Mo 0.0000 0.0000 0.3999  8 W 2.74-2.75
7 Mo 0.0000 0.0000 0.6001  8 W 2.74-2.75
8 Mo 0.0000 0.0000 0.1996  8 W 2.72-2.76
9 Mo 0.0000 0.0000 0.8004  8 W 2.72-2.76
10 Ti 0.0000 0.0000 0.0000  8 W 2.77

***

#two
# TiMo4W5

A relaxed TiMo4W5 crystal (GGA-PBE, Alexandria via LeMat-Bulk).

## Properties
As for the space group: C2/m. The total magnetization comes out at 0.0 μB per formula unit.

a b c (Å): 4.3702 6.2283 6.9068
angles (deg): 90.14 108.44 90.00
With the nearest neighbours (Å) after each atom.
Positions (direct):
1 W 0.1723 0.0013 0.3446  5 Mo 2.62-2.77
2 W 0.8317 0.5119 0.6634  5 Mo 2.58-2.77
3 W 0.8277 0.9987 0.6554  5 Mo 2.62-2.77
4 W 0.1683 0.4881 0.3366  5 Mo 2.58-2.77
5 W 0.5000 0.5000 0.0000  6 Mo 2.68-2.69
6 Mo 0.6686 0.7435 0.3372  7 W 2.58-2.71, 1 Ti 2.73
7 Mo 0.0023 0.2493 0.0046  6 W 2.63-2.77, 2 Ti 2.68
8 Mo 0.3314 0.2565 0.6628  7 W 2.58-2.71, 1 Ti 2.73
9 Mo 0.9977 0.7507 0.9954  6 W 2.63-2.77, 2 Ti 2.68
10 Ti 0.5000 0.0000 0.0000  6 Mo 2.68-2.73

***

Pick #one: it beats the second-best structure by 580 meV/atom.